# 1
VASP calculation (PBE-GGA) on LiSm2Cd6 after structural relaxation.

- final energy (eV/cell) = -19.0
- formation enthalpy at 0 K (eV/atom) = -0.245
- spin magnetization (μB per cell) = 0.000

Lattice parameters (Å, degrees): 6.8915 6.8915 5.3614 95.86 95.86 57.45
Last column: nearest neighbours and their distance in Å.
Positions (direct):
Li 0.0000 0.0000 0.0000  6 Cd 2.58-2.66
Sm 0.3523 0.3523 0.7963  12 Cd 3.24-3.56
Sm 0.6477 0.6477 0.2037  12 Cd 3.24-3.56
Cd 0.1377 0.6632 0.3066  1 Li 2.66
Cd 0.1942 0.1942 0.2589  1 Li 2.58
Cd 0.3368 0.8623 0.6934  1 Li 2.66
Cd 0.6632 0.1377 0.3066  1 Li 2.66
Cd 0.8058 0.8058 0.7411  1 Li 2.58
Cd 0.8623 0.3368 0.6934  1 Li 2.66

***

# 2
VASP calculation (PBE-GGA) on LiSmCd2 after structural relaxation.

- final energy (eV/cell) = -9.3
- formation enthalpy at 0 K (eV/atom) = -0.212
- spin magnetization (μB per cell) = 0.000

Lattice parameters (Å, degrees): 5.3224 5.3224 3.5341 90.00 90.00 90.00
Last column: nearest neighbours and their distance in Å.
Positions (direct):
Li 0.0000 0.0000 0.0000  8 Cd 3.19, 2 Li 3.53
Sm 0.5000 0.5000 0.0000  8 Cd 3.19, 2 Sm 3.53
Cd 0.0000 0.5000 0.5000  4 Li 3.19, 4 Sm 3.19, 2 Cd 3.53
Cd 0.5000 0.0000 0.5000  4 Li 3.19, 4 Sm 3.19, 2 Cd 3.53

***

# 3
VASP calculation (PBE-GGA) on Li2Sm4Cd5 after structural relaxation.

- final energy (eV/cell) = -28.9
- formation enthalpy at 0 K (eV/atom) = -0.146
- spin magnetization (μB per cell) = 0.014

Lattice parameters (Å, degrees): 7.9265 3.5182 10.3227 90.00 94.08 90.00
Last column: nearest neighbours and their distance in Å.
Positions (direct):
Li 0.0578 0.0000 0.1326  1 Li 2.83, 2 Cd 2.91-2.96
Li 0.9422 0.0000 0.8674  1 Li 2.83, 2 Cd 2.91-2.96
Sm 0.1707 0.5000 0.3888  2 Li 3.25, 8 Cd 3.29-3.37, 2 Sm 3.52
Sm 0.2880 0.5000 0.9338  4 Li 3.29-3.34, 6 Cd 3.31-3.39, 3 Sm 3.52-3.54
Sm 0.7120 0.5000 0.0662  4 Li 3.29-3.34, 6 Cd 3.31-3.39, 3 Sm 3.52-3.54
Sm 0.8293 0.5000 0.6112  2 Li 3.25, 8 Cd 3.29-3.37, 2 Sm 3.52
Cd 0.1906 0.0000 0.6666  1 Li 2.96, 2 Cd 3.09-3.28
Cd 0.4198 0.0000 0.2034  1 Li 2.91, 1 Cd 3.08
Cd 0.5000 0.0000 0.5000  4 Cd 3.08-3.09, 4 Sm 3.29
Cd 0.5802 0.0000 0.7966  1 Li 2.91, 1 Cd 3.08
Cd 0.8094 0.0000 0.3334  1 Li 2.96, 2 Cd 3.09-3.28